VASP calculation (PBE) on an optimized crystal structure of BaCa4Re.

## Properties
The calculation puts the size of the total moment at 0.553 μB per atom. For the formation energy, the calculation gives 98 kJ per mole of atoms. Its volume is 37.4 Å³ per atom.

a b c (Å): 9.649 9.649 9.649
angles (deg): 90.00 90.00 90.00
Space group F-43m (No. 216)
Unique sites:
Ba 0.000 0.000 0.000
Ca 0.123 0.123 0.623
Re 0.250 0.250 0.250


VASP calculation (PBE) on an optimized crystal structure of Sc2AsSe.

## Properties
The calculation puts the size of the total moment at 0.133 μB per atom. The value obtained for the offset from the most stable computed form is 1230 meV per atom. Its volume is 19.8 Å³ per atom.

a b c (Å): 6.815 6.815 6.815
angles (deg): 90.00 90.00 90.00
Space group F-43m (No. 216)
Unique sites:
Sc 0.000 0.000 0.000
Sc 0.250 0.250 0.250
As 0.000 0.000 0.500
Se 0.250 0.250 0.750


VASP calculation (PBE) on an optimized crystal structure of Pm7NdEr12.

## Properties
The calculation puts the size of the total moment at 0.000 μB per atom. The value obtained for the offset from the most stable computed form is 361 meV per atom. For the formation energy, the calculation gives 63 kJ per mole of atoms. Its volume is 35.5 Å³ per atom.

a b c (Å): 11.241 11.241 11.241
angles (deg): 90.00 90.00 90.00
Space group Im-3m (No. 229)
Unique sites:
Pm 0.000 0.000 0.500
Pm 0.250 0.250 0.250
Nd 0.000 0.000 0.000
Er 0.000 0.251 0.251


VASP calculation (PBE) on an optimized crystal structure of HfZrZn2Pb.

## Properties
The calculation puts the size of the total moment at 0.000 μB per atom. For the formation energy, the calculation gives 89 kJ per mole of atoms. Its volume is 26.9 Å³ per atom.

a b c (Å): 4.994 4.994 5.384
angles (deg): 90.00 90.00 90.00
Space group P4/mmm (No. 123)
Unique sites:
Hf 0.000 0.000 0.000
Zr 0.500 0.500 0.500
Zn 0.000 0.500 0.000
Pb 0.000 0.000 0.500


VASP calculation (PBE) on an optimized crystal structure of NiBiP3.

## Properties
The calculation puts the size of the total moment at 0.000 μB per atom. The value obtained for the offset from the most stable computed form is 74 meV per atom. For the formation energy, the calculation gives -1 kJ per mole of atoms. Its volume is 19.8 Å³ per atom.

a b c (Å): 3.704 4.065 7.136
angles (deg): 99.68 99.70 106.36
Space group P1 (No. 1)
Unique sites:
Ni 0.000 0.000 0.000
Bi 0.992 0.137 0.614
P 0.395 0.811 0.823
P 0.422 0.379 0.273
P 0.950 0.532 0.128


VASP calculation (PBE) on an optimized crystal structure of La3Pm3Au2.

## Properties
The calculation puts the size of the total moment at 0.000 μB per atom. For the formation energy, the calculation gives -34 kJ per mole of atoms. Its volume is 31.0 Å³ per atom.

a b c (Å): 3.904 12.516 20.315
angles (deg): 90.00 90.00 90.00
Space group Cmcm (No. 63)
Unique sites:
La 0.000 0.062 0.118
La 0.000 0.367 0.250
Pm 0.000 0.361 0.750
Pm 0.000 0.362 0.027
Au 0.000 0.220 0.629


VASP calculation (PBE) on an optimized crystal structure of Pr3HgSe2.

## Properties
For the total energy, the calculation gives -4.72 eV per atom. The calculation puts the size of the total moment at 0.000 μB per atom. Its volume is 29.7 Å³ per atom.

a b c (Å): 5.087 13.490 10.389
angles (deg): 90.00 90.00 90.00
Space group Cmcm (No. 63)
Unique sites:
Pr 0.000 0.118 0.250
Pr 0.000 0.368 0.052
Hg 0.000 0.223 0.750
Se 0.000 0.000 0.000
Se 0.000 0.475 0.750


VASP calculation (PBE) on an optimized crystal structure of Tm2Ti2O7.

## Properties
For the total energy, the calculation gives -8.75 eV per atom. The calculation puts the size of the total moment at 0.000 μB per atom. Its volume is 11.7 Å³ per atom.

a b c (Å): 10.085 10.085 10.085
angles (deg): 90.00 90.00 90.00
Space group Fd-3m (No. 227, origin choice 2)
Unique sites:
Tm 0.000 0.000 0.000
Ti 0.000 0.000 0.500
O 0.082 0.375 0.875
O 0.125 0.125 0.125


Repeat the eighth record exactly.
VASP calculation (PBE) on an optimized crystal structure of Tm2Ti2O7.

## Properties
For the total energy, the calculation gives -8.75 eV per atom. The calculation puts the size of the total moment at 0.000 μB per atom. Its volume is 11.7 Å³ per atom.

a b c (Å): 10.085 10.085 10.085
angles (deg): 90.00 90.00 90.00
Space group Fd-3m (No. 227, origin choice 2)
Unique sites:
Tm 0.000 0.000 0.000
Ti 0.000 0.000 0.500
O 0.082 0.375 0.875
O 0.125 0.125 0.125